BaLiGaCu | PBE | relaxed

Computed properties:
Energy relative to the elements ... -0.90 eV/f.u.
Fermi-level density of states ... 2.274 states/eV/cell
Symmetry ... Cm
Total DFT energy (no corrections) ... -2.964 eV/atom

abc: 4.423 4.429 6.311
angles: 110.45 90.00 119.96
Sites, in units of the cell vectors:
Cu: 0.803 0.607 0.051
Ga: 0.127 0.253 0.022
Li: 0.425 0.851 0.918
Ba: 0.611 0.222 0.476